Version A
This record from the Alexandria database describes an optimized crystal structure of CsNiPO2. The functional is GGA+U.

Cell: 4.1896 4.1896 7.0294 Å, 90.00 90.00 90.00°
Last column: nearest neighbours and their distance in Å.
Space group P4/mmm (No. 123)
Symmetry-distinct sites (fractional):
Cs1 0.0000 0.0000 0.0000  4 O 2.09
Ni1 0.5000 0.5000 0.5000  4 P 2.96
P1 0.0000 0.0000 0.5000  4 Ni 2.96
O1 0.0000 0.5000 0.0000  2 Cs 2.09

The crystal system is tetragonal. For the density, the calculation gives 3.426 g/cm3. The spin magnetization comes out at 2.76 μB/cell.


Version B
This record from the Alexandria database describes an optimized crystal structure of CsNiPO2. The functional is GGA+U.

Cell: 4.1995 4.1995 4.6203 Å, 90.00 90.00 90.00°
Last column: nearest neighbours and their distance in Å.
Space group P4/mmm (No. 123)
Symmetry-distinct sites (fractional):
Cs1 0.0000 0.0000 0.0000  4 P 2.97, 8 O 3.12
Ni1 0.5000 0.5000 0.5000  4 O 2.10, 2 P 2.31
P1 0.5000 0.5000 0.0000  2 Ni 2.31
O1 0.0000 0.5000 0.5000  2 Ni 2.10

The crystal system is tetragonal. For the density, the calculation gives 5.188 g/cm3. The spin magnetization comes out at 0.37 μB/cell.


Which structure is the most stable? The one labeled version B.